The following is a DFT calculation (PBE-GGA) of an optimized crystal structure of YMg2VTe.

## Properties
For the total energy, the calculation gives -3.11 eV/atom. The value obtained for the raw formation energy is 6.38 eV per formula unit.

abc: 5.7431 5.7431 4.8526
angles: 90.00 90.00 90.00
Closest atoms and distances in Å follow each position.
Fractional coordinates of all 5 atoms:
Y1 0.0000 0.0000 0.0000  2 V 2.43
Mg1 0.0000 0.5000 0.0000  2 Y 2.87
Mg2 0.5000 0.0000 0.0000  2 Y 2.87
V1 0.0000 0.0000 0.5000  2 Y 2.43
Te1 0.5000 0.5000 0.5000  8 Mg 3.76, 4 V 4.06